The following is a DFT calculation (PBE-GGA) of a relaxed structure of YCrAs2.

Unit cell a=4.6170 b=3.7983 c=5.4999 alpha=69.78 beta=90.00 gamma=90.00
Closest atoms and distances in Å follow each position.
Sites, in units of the cell vectors:
As  0.0000  0.0769  0.9712  2 Cr 2.51
As  0.5000  0.3591  0.4070  2 Cr 2.39
Y  0.5000  0.6461  0.8330  7 As 2.91-3.07
Cr  0.0000  0.4179  0.2887  4 As 2.39-2.51

Properties
- Excess energy over the best structure of this formula in the dataset: 0.2411 eV per atom
- N(E_F): 1.5 states/eV/f.u.
- Magnetization: 2.99 μB per cell
- Formation energy: -0.5405 eV per atom

The following is a DFT calculation (PBE-GGA) of a relaxed structure of SrCdRe2.

Unit cell a=4.9208 b=4.0320 c=4.0320 alpha=90.00 beta=90.00 gamma=90.00
Closest atoms and distances in Å follow each position.
Sites, in units of the cell vectors:
Cd  0.5000  0.0000  0.5000  4 Sr 2.85, 8 Re 3.18
Re  0.0000  0.5000  0.5000  4 Re 2.85, 4 Cd 3.18, 4 Sr 3.18
Re  0.0000  0.0000  0.0000  4 Re 2.85, 4 Cd 3.18, 4 Sr 3.18
Sr  0.5000  0.5000  0.0000  4 Cd 2.85, 8 Re 3.18

Properties
- N(E_F): 4.2 states/eV/f.u.
- Magnetization: 0.00 μB per cell
- Formation energy: 1.1293 eV per atom

The following is a DFT calculation (PBE-GGA) of a relaxed structure of Rb2LiPdF4.

Unit cell a=5.7629 b=5.7629 c=5.7629 alpha=106.19 beta=111.14 gamma=111.14
Closest atoms and distances in Å follow each position.
Sites, in units of the cell vectors:
F  0.0593  0.1954  0.5289  1 Li 1.94
F  0.6664  0.4711  0.5303  1 Li 1.94
F  0.3336  0.8639  0.8046  1 Li 1.94
F  0.9407  0.4697  0.1361  1 Li 1.94
Rb  0.0000  0.0000  0.0000  4 F 2.78
Rb  0.5000  0.7500  0.2500  4 F 2.75
Li  0.0000  0.5000  0.5000  4 F 1.94
Pd  0.5000  0.2500  0.7500  4 F 2.24

Properties
- Raw formation energy: -2.14 eV/atom
- Magnetization: 0.97 μB per cell

The following is a DFT calculation (PBE-GGA) of a relaxed structure of NdSmDyPu.

Unit cell a=5.6720 b=5.6720 c=5.6720 alpha=60.00 beta=60.00 gamma=60.00
Closest atoms and distances in Å follow each position.
Sites, in units of the cell vectors:
Nd  0.2500  0.2500  0.2500  4 Dy 3.47, 4 Pu 3.47
Dy  0.5000  0.5000  0.5000  4 Nd 3.47, 4 Sm 3.47
Sm  0.7500  0.7500  0.7500  4 Dy 3.47, 4 Pu 3.47
Pu  0.0000  0.0000  0.0000  4 Nd 3.47, 4 Sm 3.47

Properties
- N(E_F): 12.8 states/eV/f.u.
- Magnetization: 7.49 μB per cell
- Formation energy: 0.2156 eV per atom

The following is a DFT calculation (PBE-GGA) of a relaxed structure of Er4GeTe2.

Unit cell a=8.0272 b=8.0267 c=8.0277 alpha=109.55 beta=109.50 gamma=109.36
Closest atoms and distances in Å follow each position.
Sites, in units of the cell vectors:
Te  0.6634  0.8750  0.2884  6 Er 3.03-3.13
Te  0.1251  0.3363  0.7113  6 Er 3.03-3.13
Te  0.6250  0.4138  0.2887  6 Er 3.03-3.13
Te  0.5865  0.3749  0.7115  6 Er 3.03-3.13
Er  0.3542  0.0168  0.2611  1 Ge 2.84, 3 Te 3.03-3.13
Er  0.4945  0.7334  0.8375  1 Ge 2.84, 3 Te 3.03-3.13
Er  0.9835  0.6458  0.7389  1 Ge 2.84, 3 Te 3.03-3.13
Er  0.7556  0.0929  0.7388  1 Ge 2.84, 3 Te 3.03-3.13
Er  0.2664  0.5054  0.1623  1 Ge 2.84, 3 Te 3.03-3.13
Er  0.9069  0.2446  0.2611  1 Ge 2.84, 3 Te 3.03-3.13
Er  0.8960  0.6571  0.1625  1 Ge 2.84, 3 Te 3.03-3.13
Er  0.3432  0.1041  0.8378  1 Ge 2.84, 3 Te 3.03-3.13
Ge  0.2496  0.7496  0.5000  4 Er 2.84
Ge  0.0002  0.0002  0.0000  4 Er 2.84

Properties
- Raw formation energy: -0.91 eV/atom
- N(E_F): 3.7 states/eV/f.u.
- Magnetization: 0.00 μB per cell

The following is a DFT calculation (PBE-GGA) of a relaxed structure of MgIn2Pb4.

Unit cell a=4.9313 b=5.3133 c=9.2380 alpha=106.71 beta=90.00 gamma=90.00
Closest atoms and distances in Å follow each position.
Sites, in units of the cell vectors:
Pb  0.5000  0.3957  0.7914  2 Mg 3.08, 3 In 3.23-3.32
Pb  0.0000  0.9004  0.8009  2 In 3.13, 2 Mg 3.19
Pb  0.0000  0.0996  0.1991  2 In 3.13, 2 Mg 3.19
Pb  0.5000  0.6043  0.2086  2 Mg 3.08, 3 In 3.23-3.32
In  0.5000  0.2082  0.4165  2 In 3.04, 5 Pb 3.13-3.32
In  0.5000  0.7918  0.5835  2 In 3.04, 5 Pb 3.13-3.32
Mg  0.0000  0.5000  0.0000  8 Pb 3.08-3.19

Properties
- Excess energy over the best structure of this formula in the dataset: 0.0000 eV per atom
- N(E_F): 2.9 states/eV/f.u.
- Magnetization: 0.00 μB per cell
- Formation energy: 0.1025 eV per atom

The following is a DFT calculation (PBE-GGA) of a relaxed structure of Nd2Ho6Hg.

Unit cell a=5.4838 b=9.7519 c=10.2597 alpha=90.00 beta=89.99 gamma=90.00
Closest atoms and distances in Å follow each position.
Sites, in units of the cell vectors:
Ho  0.9999  0.3180  0.4265  1 Hg 3.19, 3 Nd 3.34-3.50, 3 Ho 3.34-3.54
Ho  0.0000  0.3624  0.1035  2 Hg 3.23, 3 Ho 3.34-3.45, 3 Nd 3.53-3.56
Ho  0.5000  0.8624  0.3966  2 Hg 3.23, 3 Ho 3.34-3.45, 3 Nd 3.53-3.56
Ho  0.5000  0.5184  0.3186  3 Nd 3.27-3.30, 1 Hg 3.27, 3 Ho 3.45-3.54
Ho  0.5000  0.4816  0.6814  3 Nd 3.27-3.30, 1 Hg 3.27, 3 Ho 3.45-3.54
Ho  0.0001  0.6820  0.5735  1 Hg 3.19, 3 Nd 3.34-3.50, 3 Ho 3.34-3.54
Ho  0.5000  0.1376  0.6034  2 Hg 3.23, 3 Ho 3.34-3.45, 3 Nd 3.53-3.56
Ho  0.0000  0.9816  0.8185  3 Nd 3.27-3.30, 1 Hg 3.27, 3 Ho 3.45-3.54
Ho  0.0000  0.0184  0.1815  3 Nd 3.27-3.30, 1 Hg 3.27, 3 Ho 3.45-3.54
Ho  0.4999  0.1820  0.9265  1 Hg 3.19, 3 Nd 3.34-3.50, 3 Ho 3.34-3.54
Ho  0.5001  0.8180  0.0735  1 Hg 3.19, 3 Nd 3.34-3.50, 3 Ho 3.34-3.54
Ho  0.0000  0.6376  0.8965  2 Hg 3.23, 3 Ho 3.34-3.45, 3 Nd 3.53-3.56
Nd  0.0000  0.6910  0.2479  10 Ho 3.27-3.64
Nd  0.5000  0.8090  0.7479  10 Ho 3.27-3.64
Nd  0.5000  0.1910  0.2521  10 Ho 3.27-3.64
Nd  0.0000  0.3090  0.7521  10 Ho 3.27-3.64
Hg  0.5000  0.5000  0.0000  8 Ho 3.19-3.27
Hg  0.0000  0.0000  0.5000  8 Ho 3.19-3.27

Properties
- N(E_F): 13.5 states/eV/f.u.
- Magnetization: 0.00 μB per cell
- Formation energy: -0.0149 eV per atom

The following is a DFT calculation (PBE-GGA) of a relaxed structure of NaUHgBr6.

Unit cell a=7.3856 b=7.3856 c=17.7269 alpha=90.00 beta=90.00 gamma=120.00
Closest atoms and distances in Å follow each position.
Sites, in units of the cell vectors:
Br  0.0330  0.6623  0.8388  1 U 2.71, 1 Na 3.02
Br  0.9670  0.3377  0.1612  1 U 2.71, 1 Na 3.02
Br  0.3377  0.3707  0.8388  1 U 2.71, 1 Na 3.02
Br  0.6623  0.0330  0.3388  1 U 2.71, 1 Na 3.02
Br  0.0330  0.3707  0.6612  1 U 2.71, 1 Na 3.02
Br  0.6293  0.9670  0.8388  1 U 2.71, 1 Na 3.02
Br  0.6623  0.6293  0.1612  1 U 2.71, 1 Na 3.02
Br  0.6293  0.6623  0.6612  1 U 2.71, 1 Na 3.02
Br  0.3377  0.9670  0.6612  1 U 2.71, 1 Na 3.02
Br  0.3707  0.0330  0.1612  1 U 2.71, 1 Na 3.02
Br  0.9670  0.6293  0.3388  1 U 2.71, 1 Na 3.02
Br  0.3707  0.3377  0.3388  1 U 2.71, 1 Na 3.02
U  0.3333  0.6667  0.7500  6 Br 2.71
U  0.6667  0.3333  0.2500  6 Br 2.71
Na  0.6667  0.3333  0.7500  6 Br 3.02
Na  0.3333  0.6667  0.2500  6 Br 3.02
Hg  0.0000  0.0000  0.0000  6 Br 3.88
Hg  0.0000  0.0000  0.5000  6 Br 3.88

Properties
- Raw formation energy: -1.17 eV/atom
- Magnetization: 2.00 μB per cell